# YTlIr SCAN PBEsol geometry
# **Theoretical density**: 11110 kg/m³
# **Crystal system**: trigonal
# **Total magnetic moment**: 0.0 μB per formula unit
# **ΔE_f**: -278 meV per atom
data_YTlIr
_chemical_formula_sum 'Y1 Tl1 Ir1'
_cell_length_a 4.1115
_cell_length_b 4.1115
_cell_length_c 4.9567
_cell_angle_alpha 90.00
_cell_angle_beta 90.00
_cell_angle_gamma 120.00
_symmetry_space_group_name_H-M 'P 3 m 1'
_symmetry_Int_Tables_number 156
_symmetry_space_group_name_Hall 'P 3 -2"'
loop_
_atom_site_label
_atom_site_type_symbol
_atom_site_fract_x
_atom_site_fract_y
_atom_site_fract_z
Y1 Y 0.0000 0.0000 0.0000
Tl1 Tl 0.6667 0.3333 0.4514
Ir1 Ir 0.3333 0.6667 0.7076